1.
Material: Cs2RbAgSe
Method: DFT, PBE
State: optimized geometry

Values from the calculation:
energy relative to the lowest polymorph listed for this composition = 0.000 eV/atom
ΔE_f (raw) = -0.5071 eV/atom

```
data_Cs2RbAgSe
_cell_length_a 6.952
_cell_length_b 6.952
_cell_length_c 6.563
_cell_angle_alpha 90.00
_cell_angle_beta 90.00
_cell_angle_gamma 90.00
_symmetry_space_group_name_H-M 'P 4/m m m'
_symmetry_Int_Tables_number 123
_symmetry_space_group_name_Hall '-P 4 2'
loop_
_atom_site_label
_atom_site_fract_x
_atom_site_fract_y
_atom_site_fract_z
Cs1 0.000 0.500 0.000
Rb1 0.000 0.000 0.500
Ag1 0.500 0.500 0.500
Se1 0.000 0.000 0.000
```

---

2.
Material: CsRb2AgSn
Method: DFT, PBE
State: optimized geometry

Values from the calculation:
energy relative to the lowest polymorph listed for this composition = 0.000 eV/atom
formation energy from the elements = 0.008 eV/atom

```
data_CsRb2AgSn
_cell_length_a 6.856
_cell_length_b 6.856
_cell_length_c 5.372
_cell_angle_alpha 90.00
_cell_angle_beta 90.00
_cell_angle_gamma 90.00
_symmetry_space_group_name_H-M 'P 4/m m m'
_symmetry_Int_Tables_number 123
_symmetry_space_group_name_Hall '-P 4 2'
loop_
_atom_site_label
_atom_site_fract_x
_atom_site_fract_y
_atom_site_fract_z
Cs1 0.000 0.000 0.000
Rb1 0.000 0.500 0.500
Ag1 0.500 0.500 0.500
Sn1 0.500 0.500 0.000
```

---

3.
Material: CsRb2AgSn
Method: DFT, PBE
State: optimized geometry

Values from the calculation:
energy relative to the lowest polymorph listed for this composition = 0.053 eV/atom
formation energy from the elements = 0.061 eV/atom

```
data_CsRb2AgSn
_cell_length_a 7.224
_cell_length_b 7.224
_cell_length_c 5.390
_cell_angle_alpha 90.00
_cell_angle_beta 90.00
_cell_angle_gamma 90.00
_symmetry_space_group_name_H-M 'P 4/m m m'
_symmetry_Int_Tables_number 123
_symmetry_space_group_name_Hall '-P 4 2'
loop_
_atom_site_label
_atom_site_fract_x
_atom_site_fract_y
_atom_site_fract_z
Cs1 0.000 0.000 0.000
Rb1 0.000 0.500 0.500
Ag1 0.500 0.500 0.000
Sn1 0.500 0.500 0.500
```

---

4.
Material: Cs2RbSrAg
Method: DFT, PBE
State: optimized geometry

Values from the calculation:
formation energy from the elements = 0.069 eV/atom

```
data_Cs2RbSrAg
_cell_length_a 7.378
_cell_length_b 7.378
_cell_length_c 6.579
_cell_angle_alpha 90.00
_cell_angle_beta 90.00
_cell_angle_gamma 90.00
_symmetry_space_group_name_H-M 'P 4/m m m'
_symmetry_Int_Tables_number 123
_symmetry_space_group_name_Hall '-P 4 2'
loop_
_atom_site_label
_atom_site_fract_x
_atom_site_fract_y
_atom_site_fract_z
Cs1 0.000 0.500 0.000
Rb1 0.000 0.000 0.500
Sr1 0.500 0.500 0.500
Ag1 0.500 0.500 0.000
```

---

5.
Material: CsRbTl2Ag
Method: DFT, PBE
State: optimized geometry

Values from the calculation:
energy relative to the lowest polymorph listed for this composition = 0.000 eV/atom
formation energy from the elements = 0.093 eV/atom

```
data_CsRbTl2Ag
_cell_length_a 5.804
_cell_length_b 5.804
_cell_length_c 6.518
_cell_angle_alpha 90.00
_cell_angle_beta 90.00
_cell_angle_gamma 90.00
_symmetry_space_group_name_H-M 'P 4/m m m'
_symmetry_Int_Tables_number 123
_symmetry_space_group_name_Hall '-P 4 2'
loop_
_atom_site_label
_atom_site_fract_x
_atom_site_fract_y
_atom_site_fract_z
Cs1 0.000 0.000 0.000
Rb1 0.500 0.500 0.000
Tl1 0.000 0.500 0.500
Ag1 0.500 0.500 0.500
```

---

6.
Material: Cs2RbTlAg
Method: DFT, PBE
State: optimized geometry

Values from the calculation:
energy relative to the lowest polymorph listed for this composition = 0.000 eV/atom
formation energy from the elements = 0.078 eV/atom

```
data_Cs2RbTlAg
_cell_length_a 7.386
_cell_length_b 7.386
_cell_length_c 5.590
_cell_angle_alpha 90.00
_cell_angle_beta 90.00
_cell_angle_gamma 90.00
_symmetry_space_group_name_H-M 'P 4/m m m'
_symmetry_Int_Tables_number 123
_symmetry_space_group_name_Hall '-P 4 2'
loop_
_atom_site_label
_atom_site_fract_x
_atom_site_fract_y
_atom_site_fract_z
Cs1 0.000 0.500 0.000
Rb1 0.000 0.000 0.500
Tl1 0.500 0.500 0.500
Ag1 0.500 0.500 0.000
```

---

Which M_tot belongs to each record? In order, 0.000, 0.044, 0.049, 0.000, 0.000, 0.000 μB per atom.
Which E_tot belongs to each record? In order, -0.16972, -0.14119, -0.13728, -0.10090, -0.13145, -0.11031 Ry/atom.